Entry 1:
GGA-PBE Nd6Ni2RhBr3, optimized geometry; E = -5.271 eV/atom; E_form (uncorrected) = -0.8923 eV per atom
1.0
9.771 -2.050 0.000
9.771 2.050 0.000
-3.349 0.000 8.469
Nd Ni Rh Br
6 2 1 3
direct
0.014 0.014 0.223
0.322 0.322 0.445
0.344 0.344 0.878
0.656 0.656 0.122
0.678 0.678 0.555
0.986 0.986 0.777
0.168 0.168 0.340
0.832 0.832 0.660
0.500 0.500 0.000
0.167 0.167 0.832
0.500 0.500 0.500
0.833 0.833 0.168



Entry 2:
GGA-PBE Nd8NiRu3Br4, optimized geometry; E = -5.701 eV/atom; E_form (uncorrected) = -0.7981 eV per atom
1.0
4.069 2.349 7.906
-4.069 2.349 7.906
0.000 -4.699 7.906
Nd Ni Ru Br
8 1 3 4
direct
0.228 0.734 0.734
0.234 0.234 0.234
0.266 0.266 0.772
0.266 0.772 0.266
0.734 0.228 0.734
0.734 0.734 0.228
0.766 0.766 0.766
0.772 0.266 0.266
0.500 0.500 0.500
0.000 0.000 0.500
0.000 0.500 0.000
0.500 0.000 0.000
0.000 0.000 0.000
0.000 0.500 0.500
0.500 0.000 0.500
0.500 0.500 0.000



Entry 3:
GGA-PBE Nd6NiRu2Br3, optimized geometry; E = -5.643 eV/atom; E_form (uncorrected) = -0.8131 eV per atom
1.0
3.522 -6.100 0.000
3.522 6.100 0.000
-2.346 0.000 7.896
Nd Ni Ru Br
6 1 2 3
direct
0.099 0.435 0.804
0.230 0.230 0.196
0.435 0.099 0.804
0.565 0.901 0.196
0.770 0.770 0.804
0.901 0.565 0.196
0.500 0.500 0.000
0.167 0.833 0.000
0.833 0.167 0.000
0.000 0.000 0.500
0.332 0.668 0.500
0.668 0.332 0.500